1.
The following is a DFT calculation (PBE) of crystalline HfRePt2 at its relaxed geometry.

Summary:
Energy (eV per atom): -8.626
Energy of formation from the pure elements (meV/atom): -5.3
Relative energy among the computed polymorphs (meV per atom): 200.5

Lattice parameters (Å, degrees): 3.940 3.940 9.675 78.25 78.25 90.00
Fractional coordinates of all 8 atoms:
Re 0.000 0.000 0.000
Re 0.750 0.250 0.500
Hf 0.500 0.500 0.000
Hf 0.250 0.750 0.500
Pt 0.634 0.125 0.250
Pt 0.116 0.625 0.250
Pt 0.375 0.366 0.750
Pt 0.875 0.884 0.750

***

2.
The following is a DFT calculation (PBE) of crystalline CoRhPbSe2 at its relaxed geometry.

Summary:
Formation energy (no corrections) (eV/atom): 0.7529
Energy (eV per atom): -4.274

Lattice parameters (Å, degrees): 4.883 5.242 4.883 90.00 90.00 90.00
Fractional coordinates of all 5 atoms:
Pb 0.000 0.500 0.000
Co 0.500 0.500 0.500
Rh 0.000 0.000 0.000
Se 0.000 0.000 0.500
Se 0.500 0.000 0.000

***

3.
The following is a DFT calculation (PBE) of crystalline NiAg2P at its relaxed geometry.

Summary:
Energy (eV per atom): -3.818
Energy of formation from the pure elements (meV/atom): 405.3

Lattice parameters (Å, degrees): 8.872 8.872 8.872 18.69 18.69 18.69
Fractional coordinates of all 4 atoms:
Ni 0.000 0.000 0.000
Ag 0.748 0.748 0.748
Ag 0.252 0.252 0.252
P 0.500 0.500 0.500

***

4.
The following is a DFT calculation (PBE) of crystalline MgU2Sb4 at its relaxed geometry.

Summary:
Formation energy (no corrections) (eV/atom): -0.2208
Energy (eV per atom): -6.029

Lattice parameters (Å, degrees): 4.277 4.277 10.763 90.00 90.00 90.00
Fractional coordinates of all 7 atoms:
Mg 0.500 0.500 0.000
U 0.500 0.000 0.725
U 0.000 0.500 0.275
Sb 0.500 0.000 0.181
Sb 0.000 0.500 0.819
Sb 0.500 0.500 0.500
Sb 0.000 0.000 0.500

***

5.
The following is a DFT calculation (PBE) of crystalline Ir3Os2Ru at its relaxed geometry.

Summary:
Energy (eV per atom): -9.125
Energy of formation from the pure elements (meV/atom): 594.6
Relative energy among the computed polymorphs (meV per atom): 583.1

Lattice parameters (Å, degrees): 5.405 6.280 6.280 76.90 90.00 90.00
Fractional coordinates of all 12 atoms:
Ir 0.750 0.231 0.769
Ir 0.750 0.363 0.350
Ir 0.250 0.350 0.363
Ir 0.750 0.650 0.637
Ir 0.250 0.637 0.650
Ir 0.250 0.769 0.231
Os 0.000 0.136 0.136
Os 0.500 0.136 0.136
Os 0.000 0.864 0.864
Os 0.500 0.864 0.864
Ru 0.250 0.225 0.775
Ru 0.750 0.775 0.225

***

6.
The following is a DFT calculation (PBE) of crystalline CeCdHg at its relaxed geometry.

Summary:
Energy (eV per atom): -2.699
Energy of formation from the pure elements (meV/atom): -315.8

Lattice parameters (Å, degrees): 3.320 5.105 5.105 120.00 90.00 90.00
Fractional coordinates of all 3 atoms:
Hg 0.167 0.333 0.667
Ce 0.667 0.667 0.333
Cd 0.167 0.000 0.000

***

7.
The following is a DFT calculation (PBE) of crystalline TmScSiRh at its relaxed geometry.

Summary:
Formation energy (no corrections) (eV/atom): -0.7242
Energy (eV per atom): -6.619

Lattice parameters (Å, degrees): 4.736 4.736 4.736 60.00 60.00 60.00
Fractional coordinates of all 4 atoms:
Sc 0.500 0.500 0.500
Si 0.750 0.750 0.750
Tm 0.000 0.000 0.000
Rh 0.250 0.250 0.250

***

8.
The following is a DFT calculation (PBE) of crystalline Si2Sn2Bi at its relaxed geometry.

Summary:
Formation energy (no corrections) (eV/atom): 0.3452
Energy (eV per atom): -4.201
Relative energy among the computed polymorphs (meV per atom): 104.9

Lattice parameters (Å, degrees): 7.779 7.779 3.943 90.00 90.00 90.00
Fractional coordinates of all 10 atoms:
Si 0.387 0.887 0.000
Si 0.887 0.613 0.000
Si 0.613 0.113 0.000
Si 0.113 0.387 0.000
Bi 0.000 0.000 0.000
Bi 0.500 0.500 0.000
Sn 0.178 0.678 0.500
Sn 0.678 0.822 0.500
Sn 0.822 0.322 0.500
Sn 0.322 0.178 0.500

***

9.
The following is a DFT calculation (PBE) of crystalline Rb3AgPb4 at its relaxed geometry.

Summary:
Energy (eV per atom): -2.772
Energy of formation from the pure elements (meV/atom): -198.5

Lattice parameters (Å, degrees): 7.027 7.120 13.592 90.00 90.00 90.00
Fractional coordinates of all 16 atoms:
Pb 0.328 0.500 0.880
Pb 0.328 0.500 0.120
Pb 0.036 0.264 0.000
Pb 0.036 0.736 0.000
Pb 0.964 0.764 0.500
Pb 0.964 0.236 0.500
Pb 0.672 0.000 0.380
Pb 0.672 0.000 0.620
Ag 0.683 0.500 0.000
Ag 0.317 0.000 0.500
Rb 0.546 0.000 0.000
Rb 0.454 0.500 0.500
Rb 0.823 0.500 0.750
Rb 0.823 0.500 0.250
Rb 0.177 0.000 0.750
Rb 0.177 0.000 0.250

***

10.
The following is a DFT calculation (PBE) of crystalline MnVZnGe2 at its relaxed geometry.

Summary:
Energy (eV per atom): -4.606
Energy of formation from the pure elements (meV/atom): 1153.9
Relative energy among the computed polymorphs (meV per atom): 13.8

Lattice parameters (Å, degrees): 4.689 4.689 4.675 90.00 90.00 90.00
Fractional coordinates of all 5 atoms:
Ge 0.000 0.500 0.000
Ge 0.500 0.000 0.000
Mn 0.000 0.000 0.500
Zn 0.000 0.000 0.000
V 0.500 0.500 0.500

***

11.
The following is a DFT calculation (PBE) of crystalline Rb5MnI8 at its relaxed geometry.

Summary:
Formation energy (no corrections) (eV/atom): -1.0991
Energy (eV per atom): -2.985

Lattice parameters (Å, degrees): 9.805 9.805 9.805 112.57 103.44 112.57
Fractional coordinates of all 14 atoms:
Rb 0.026 0.423 0.174
Rb 0.826 0.852 0.249
Rb 0.751 0.577 0.603
Rb 0.500 0.000 0.500
Rb 0.397 0.148 0.974
Mn 0.250 0.500 0.750
I 0.167 0.699 0.933
I 0.067 0.234 0.765
I 0.717 0.195 0.305
I 0.695 0.411 0.889
I 0.478 0.589 0.283
I 0.532 0.766 0.833
I 0.235 0.301 0.468
I 0.111 0.805 0.522

***

12.
The following is a DFT calculation (PBE) of crystalline Ce3PrRh2 at its relaxed geometry.

Summary:
Energy (eV per atom): -6.678
Energy of formation from the pure elements (meV/atom): -464.4

Lattice parameters (Å, degrees): 4.617 8.529 8.447 116.64 90.00 105.70
Fractional coordinates of all 12 atoms:
Ce 0.292 0.584 0.636
Ce 0.931 0.862 0.565
Ce 0.624 0.248 0.692
Ce 0.376 0.752 0.308
Ce 0.069 0.138 0.435
Ce 0.708 0.416 0.364
Pr 0.891 0.782 0.974
Pr 0.109 0.218 0.026
Rh 0.475 0.951 0.802
Rh 0.525 0.049 0.198
Rh 0.762 0.525 0.120
Rh 0.238 0.475 0.880

***

> Among the records above, which one has the lowest energy?

Ir3Os2Ru